The following is a PBE-GGA calculation of a relaxed structure of Ce2In5Rh3, from Alexandria via LeMat-Bulk.

Output
As for the space group: Cmc2_1, No. 36. The formation enthalpy at 0 K is -554 meV/atom.

Structure (extended XYZ):
```
20
Lattice="2.2297 -13.2367 0.0000 2.2297 13.2367 0.0000 0.0000 0.0000 7.4158" Properties=species:S:1:pos:R:3 pbc="T T T"
Ce 2.2297 12.4598 3.7079
Ce 2.2297 4.6633 2.9003
Ce 2.2297 -4.6633 6.6082
Ce 2.2297 -12.4598 0.0000
In 2.2297 10.6561 0.7678
In 2.2297 7.7958 4.3342
In 2.2297 7.7159 1.3792
In 2.2297 3.4079 7.0396
In 2.2297 1.3881 2.5078
In 2.2297 -1.3881 6.2157
In 2.2297 -3.4079 3.3317
In 2.2297 -7.7159 5.0871
In 2.2297 -7.7958 0.6263
In 2.2297 -10.6561 4.4757
Rh 2.2297 10.4321 5.2836
Rh 2.2297 6.1751 6.5386
Rh 2.2297 1.1823 5.3431
Rh 2.2297 -1.1823 1.6351
Rh 2.2297 -6.1751 2.8307
Rh 2.2297 -10.4321 1.5757
```

***

The following is a PBE-GGA calculation of a relaxed structure of CeInRh, from Alexandria via LeMat-Bulk.

Output
As for the space group: P-6m2, No. 187. The formation enthalpy at 0 K is -500 meV/atom.

Structure (extended XYZ):
```
3
Lattice="4.7596 0.0000 0.0000 -2.3798 4.1219 0.0000 0.0000 0.0000 3.3580" Properties=species:S:1:pos:R:3 pbc="T T T"
Ce 0.0000 0.0000 0.0000
In 2.3798 1.3740 1.6790
Rh 0.0000 2.7480 1.6790
```

***

The following is a PBE-GGA calculation of a relaxed structure of Ce3InRh, from Alexandria via LeMat-Bulk.

Output
As for the space group: P2_1, No. 4. The distance to the lowest polymorph of the same formula comes out at 0 meV/atom. The formation enthalpy at 0 K is -415 meV/atom.

Structure (extended XYZ):
```
10
Lattice="6.6052 0.0000 0.0000 0.0000 5.4820 0.0000 -0.6165 0.0000 6.9532" Properties=species:S:1:pos:R:3 pbc="T T T"
Ce -0.1862 0.0000 2.4291
Ce 0.8379 2.7384 0.2548
Ce 2.6678 5.4767 2.0426
Ce 3.3209 2.7357 4.9106
Ce 5.1508 5.4795 6.6984
Ce 6.1749 2.7410 4.5241
In 1.5912 5.4723 5.4744
In 4.3975 2.7313 1.4788
Rh 1.6998 2.7336 2.7035
Rh 4.2889 5.4747 4.2497
```

***

The following is a PBE-GGA calculation of a relaxed structure of CeInRh, from Alexandria via LeMat-Bulk.

Output
As for the space group: Pmma, No. 51. The formation enthalpy at 0 K is -692 meV/atom.

Structure (extended XYZ):
```
18
Lattice="13.3243 0.0000 0.0000 0.0000 3.8718 0.0000 0.0000 0.0000 7.7936" Properties=species:S:1:pos:R:3 pbc="T T T"
Ce 0.5901 0.0000 1.7162
Ce 3.3311 0.0000 6.5916
Ce 6.0721 0.0000 1.7162
Ce 7.2522 0.0000 6.0775
Ce 9.9932 0.0000 1.2020
Ce 12.7342 0.0000 6.0775
In 1.5501 1.9359 4.3834
In 3.3311 1.9359 1.5112
In 5.1120 1.9359 4.3834
In 8.2123 1.9359 3.4102
In 9.9932 1.9359 6.2824
In 11.7741 1.9359 3.4102
Rh 1.3571 1.9359 7.2293
Rh 3.3311 0.0000 3.4733
Rh 5.3050 1.9359 7.2293
Rh 8.0193 1.9359 0.5643
Rh 9.9932 0.0000 4.3203
Rh 11.9672 1.9359 0.5643
```

***

The following is a PBE-GGA calculation of a relaxed structure of CeInRh2, from Alexandria via LeMat-Bulk.

Output
As for the space group: P4/mmm, No. 123. The formation enthalpy at 0 K is -533 meV/atom.

Structure (extended XYZ):
```
4
Lattice="3.3626 0.0000 0.0000 0.0000 3.3626 0.0000 0.0000 0.0000 6.7652" Properties=species:S:1:pos:R:3 pbc="T T T"
Ce 0.0000 0.0000 0.0000
In 0.0000 0.0000 3.3826
Rh 1.6813 1.6813 1.8165
Rh 1.6813 1.6813 4.9487
```

***

The following is a PBE-GGA calculation of a relaxed structure of Ce2InRh, from Alexandria via LeMat-Bulk.

Output
As for the space group: P4/mmm, No. 123. The distance to the lowest polymorph of the same formula comes out at 23 meV/atom. The formation enthalpy at 0 K is -507 meV/atom.

Structure (extended XYZ):
```
4
Lattice="3.7767 0.0000 0.0000 0.0000 3.7767 0.0000 0.0000 0.0000 6.7423" Properties=species:S:1:pos:R:3 pbc="T T T"
Ce 0.0000 0.0000 1.3884
Ce 0.0000 0.0000 5.3539
In 1.8884 1.8884 3.3712
Rh 1.8884 1.8884 0.0000
```